1.
# RbZnPO2, relaxed, DFT PBE
# D(E_F), states/eV/cell: 3.18
# Crystal system: tetragonal
# Polymorph energy (0 for the lowest one), meV per atom: 1644.0
# Uncorrected energy, eV per atom: -2.30
data_RbZnPO2
_cell_length_a 4.317
_cell_length_b 4.317
_cell_length_c 6.940
_cell_angle_alpha 90.00
_cell_angle_beta 90.00
_cell_angle_gamma 90.00
_space_group_name_H-M_alt 'P 4/m m m'
_space_group_IT_number 123
_space_group_name_Hall '-P 4 2'
loop_
_atom_site_label
_atom_site_type_symbol
_atom_site_fract_x
_atom_site_fract_y
_atom_site_fract_z
Rb1 Rb 0.000 0.000 0.000
Zn1 Zn 0.500 0.500 0.500
P1 P 0.000 0.000 0.500
O1 O 0.000 0.500 0.000

2.
# RbZnP2O, relaxed, DFT PBE
# D(E_F), states/eV/cell: 3.32
# Crystal system: tetragonal
# Polymorph energy (0 for the lowest one), meV per atom: 1283.8
# Uncorrected energy, eV per atom: -1.92
data_RbZnP2O
_cell_length_a 5.569
_cell_length_b 5.569
_cell_length_c 4.359
_cell_angle_alpha 90.00
_cell_angle_beta 90.00
_cell_angle_gamma 90.00
_space_group_name_H-M_alt 'P 4/m m m'
_space_group_IT_number 123
_space_group_name_Hall '-P 4 2'
loop_
_atom_site_label
_atom_site_type_symbol
_atom_site_fract_x
_atom_site_fract_y
_atom_site_fract_z
Rb1 Rb 0.000 0.000 0.000
Zn1 Zn 0.500 0.500 0.500
P1 P 0.000 0.500 0.000
O1 O 0.000 0.000 0.500

3.
# RbZnP2O, relaxed, DFT PBE
# D(E_F), states/eV/cell: 3.35
# Crystal system: tetragonal
# Polymorph energy (0 for the lowest one), meV per atom: 0.0
# Uncorrected energy, eV per atom: -3.21
data_RbZnP2O
_cell_length_a 4.786
_cell_length_b 4.786
_cell_length_c 4.493
_cell_angle_alpha 90.00
_cell_angle_beta 90.00
_cell_angle_gamma 90.00
_space_group_name_H-M_alt 'P 4/m m m'
_space_group_IT_number 123
_space_group_name_Hall '-P 4 2'
loop_
_atom_site_label
_atom_site_type_symbol
_atom_site_fract_x
_atom_site_fract_y
_atom_site_fract_z
Rb1 Rb 0.000 0.000 0.000
Zn1 Zn 0.500 0.500 0.500
P1 P 0.000 0.500 0.500
O1 O 0.500 0.500 0.000

4.
# RbZrPO6, relaxed, DFT PBE
# D(E_F), states/eV/cell: 4.86
# Crystal system: trigonal
# Uncorrected energy, eV per atom: -6.89
data_RbZrPO6
_cell_length_a 5.2492
_cell_length_b 5.2492
_cell_length_c 6.1940
_cell_angle_alpha 90.00
_cell_angle_beta 90.00
_cell_angle_gamma 120.00
_space_group_name_H-M_alt 'P 3 1 2'
_space_group_IT_number 149
_space_group_name_Hall 'P 3 2'
loop_
_atom_site_label
_atom_site_type_symbol
_atom_site_fract_x
_atom_site_fract_y
_atom_site_fract_z
Rb1 Rb 0.0000 0.0000 0.0000
Zr1 Zr 0.3333 0.6667 0.5000
P1 P 0.6667 0.3333 0.5000
O1 O 0.4127 0.0580 0.6588

5.
# RbZr2PO, relaxed, DFT PBE
# D(E_F), states/eV/cell: 4.74
# Crystal system: tetragonal
# Uncorrected energy, eV per atom: -6.20
data_RbZr2PO
_cell_length_a 4.443
_cell_length_b 4.443
_cell_length_c 5.147
_cell_angle_alpha 90.00
_cell_angle_beta 90.00
_cell_angle_gamma 90.00
_space_group_name_H-M_alt 'P 4/m m m'
_space_group_IT_number 123
_space_group_name_Hall '-P 4 2'
loop_
_atom_site_label
_atom_site_type_symbol
_atom_site_fract_x
_atom_site_fract_y
_atom_site_fract_z
Rb1 Rb 0.000 0.000 0.000
Zr1 Zr 0.000 0.500 0.500
P1 P 0.500 0.500 0.000
O1 O 0.000 0.000 0.500

6.
# RbZrPO2, relaxed, DFT PBE
# D(E_F), states/eV/cell: 2.68
# Crystal system: tetragonal
# Polymorph energy (0 for the lowest one), meV per atom: 2119.9
# Uncorrected energy, eV per atom: -4.24
data_RbZrPO2
_cell_length_a 4.102
_cell_length_b 4.102
_cell_length_c 5.907
_cell_angle_alpha 90.00
_cell_angle_beta 90.00
_cell_angle_gamma 90.00
_space_group_name_H-M_alt 'P 4/m m m'
_space_group_IT_number 123
_space_group_name_Hall '-P 4 2'
loop_
_atom_site_label
_atom_site_type_symbol
_atom_site_fract_x
_atom_site_fract_y
_atom_site_fract_z
Rb1 Rb 0.000 0.000 0.000
Zr1 Zr 0.500 0.500 0.500
P1 P 0.000 0.000 0.500
O1 O 0.000 0.500 0.000

7.
# RbZrPO2, relaxed, DFT PBE
# D(E_F), states/eV/cell: 2.07
# Crystal system: tetragonal
# Polymorph energy (0 for the lowest one), meV per atom: 0.0
# Uncorrected energy, eV per atom: -6.36
data_RbZrPO2
_cell_length_a 4.290
_cell_length_b 4.290
_cell_length_c 5.396
_cell_angle_alpha 90.00
_cell_angle_beta 90.00
_cell_angle_gamma 90.00
_space_group_name_H-M_alt 'P 4/m m m'
_space_group_IT_number 123
_space_group_name_Hall '-P 4 2'
loop_
_atom_site_label
_atom_site_type_symbol
_atom_site_fract_x
_atom_site_fract_y
_atom_site_fract_z
Rb1 Rb 0.000 0.000 0.000
Zr1 Zr 0.500 0.500 0.500
P1 P 0.500 0.500 0.000
O1 O 0.000 0.500 0.500

8.
# RePO2, relaxed, DFT PBE
# D(E_F), states/eV/cell: 20.15
# Crystal system: tetragonal
# Uncorrected energy, eV per atom: -6.82
data_RePO2
_cell_length_a 5.989
_cell_length_b 5.989
_cell_length_c 8.472
_cell_angle_alpha 90.00
_cell_angle_beta 90.00
_cell_angle_gamma 90.00
_space_group_name_H-M_alt 'I -4 2 d'
_space_group_IT_number 122
_space_group_name_Hall 'I -4 2bw'
loop_
_atom_site_label
_atom_site_type_symbol
_atom_site_fract_x
_atom_site_fract_y
_atom_site_fract_z
Re1 Re 0.000 0.000 0.000
P1 P 0.000 0.000 0.500
O1 O 0.003 0.250 0.125

9.
# ReP2O8, relaxed, DFT PBE
# D(E_F), states/eV/cell: 3.49
# Crystal system: monoclinic
# Polymorph energy (0 for the lowest one), meV per atom: 0.0
# Uncorrected energy, eV per atom: -7.37
data_ReP2O8
_cell_length_a 13.083
_cell_length_b 7.533
_cell_length_c 9.129
_cell_angle_alpha 90.00
_cell_angle_beta 127.59
_cell_angle_gamma 90.00
_space_group_name_H-M_alt 'C 1 2/c 1'
_space_group_IT_number 15
_space_group_name_Hall '-C 2yc'
loop_
_atom_site_label
_atom_site_type_symbol
_atom_site_fract_x
_atom_site_fract_y
_atom_site_fract_z
Re1 Re 0.000 0.031 0.250
P1 P 0.081 0.245 0.541
O1 O 0.056 0.218 0.157
O2 O 0.066 0.152 0.683
O3 O 0.142 0.419 0.600
O4 O 0.149 0.095 0.494

10.
# RePO2, relaxed, DFT PBE
# D(E_F), states/eV/cell: 4.32
# Crystal system: trigonal
# Uncorrected energy, eV per atom: -7.45
data_RePO2
_cell_length_a 2.7665
_cell_length_b 2.7665
_cell_length_c 20.2746
_cell_angle_alpha 90.00
_cell_angle_beta 90.00
_cell_angle_gamma 120.00
_space_group_name_H-M_alt 'R -3 m'
_space_group_IT_number 166
_space_group_name_Hall '-R 3 2"'
loop_
_atom_site_label
_atom_site_type_symbol
_atom_site_fract_x
_atom_site_fract_y
_atom_site_fract_z
Re1 Re 0.0000 0.0000 0.0000
P1 P 0.0000 0.0000 0.5000
O1 O 0.0000 0.0000 0.4030

11.
# ReP2O8, relaxed, DFT PBE
# Crystal system: monoclinic
# Polymorph energy (0 for the lowest one), meV per atom: 19.4
# Uncorrected energy, eV per atom: -7.35
data_ReP2O8
_cell_length_a 11.730
_cell_length_b 5.930
_cell_length_c 4.707
_cell_angle_alpha 90.00
_cell_angle_beta 95.70
_cell_angle_gamma 90.00
_space_group_name_H-M_alt 'C 1 2/m 1'
_space_group_IT_number 12
_space_group_name_Hall '-C 2y'
loop_
_atom_site_label
_atom_site_type_symbol
_atom_site_fract_x
_atom_site_fract_y
_atom_site_fract_z
Re1 Re 0.000 0.000 0.000
P1 P 0.164 0.000 0.641
O1 O 0.097 0.199 0.787
O2 O 0.113 0.000 0.313
O3 O 0.210 0.500 0.323

12.
# Re2PO, relaxed, DFT PBE
# D(E_F), states/eV/cell: 14.87
# Crystal system: tetragonal
# Polymorph energy (0 for the lowest one), meV per atom: 160.5
# Uncorrected energy, eV per atom: -8.56
data_Re2PO
_cell_length_a 5.212
_cell_length_b 5.212
_cell_length_c 8.896
_cell_angle_alpha 90.00
_cell_angle_beta 90.00
_cell_angle_gamma 90.00
_space_group_name_H-M_alt 'I -4 2 d'
_space_group_IT_number 122
_space_group_name_Hall 'I -4 2bw'
loop_
_atom_site_label
_atom_site_type_symbol
_atom_site_fract_x
_atom_site_fract_y
_atom_site_fract_z
Re1 Re 0.206 0.250 0.125
P1 P 0.000 0.000 0.500
O1 O 0.000 0.000 0.000

Record order is preserved below.
Formation energy (no corrections): 1209, 1682, 398, -1924, -516, 729, -1391, 123, -1650, -507, -1630, 256 meV per atom